No. 1
The following is a DFT calculation (GGA-PBE) of a relaxed Pa3Ni7Ge4 crystal.

```
14
Lattice="7.362 -2.027 0.000 7.362 2.027 0.000 -5.333 0.000 7.289" Properties=species:S:1:pos:R:3 pbc="T T T"
Pa 0.000 0.000 0.000
Pa 3.021 0.000 2.268
Pa 6.369 0.000 5.021
Ni -2.666 0.000 3.645
Ni -2.659 0.000 6.200
Ni 1.049 0.000 5.126
Ni 3.584 0.000 5.083
Ni 5.806 0.000 2.206
Ni 8.342 0.000 2.163
Ni 12.050 0.000 1.089
Ge -0.255 0.000 2.933
Ge -0.291 0.000 7.118
Ge 9.681 0.000 0.171
Ge 9.646 0.000 4.356
```

Energy of formation: -0.55 eV/atom
Calculated volume: 15.54 Å³/atom

***

No. 2
The following is a DFT calculation (GGA-PBE) of a relaxed Na2CuBi2 crystal.

```
10
Lattice="7.263 0.000 0.000 0.000 7.263 0.000 0.000 0.000 5.259" Properties=species:S:1:pos:R:3 pbc="T T T"
Na 1.186 2.446 0.000
Na 2.446 6.077 0.000
Na 4.818 1.186 0.000
Na 6.077 4.818 0.000
Cu 0.000 0.000 2.629
Cu 3.632 3.632 2.629
Bi 1.123 4.754 2.629
Bi 2.509 1.123 2.629
Bi 4.754 6.141 2.629
Bi 6.141 2.509 2.629
```

Energy of formation: -0.13 eV/atom
Calculated volume: 27.74 Å³/atom

***

No. 3
The following is a DFT calculation (GGA-PBE) of a relaxed Ca4Pd2Au5 crystal.

```
11
Lattice="7.360 0.000 0.000 0.000 3.916 0.000 -0.532 0.000 8.684" Properties=species:S:1:pos:R:3 pbc="T T T"
Ca 1.329 0.000 3.214
Ca 1.304 0.000 7.960
Ca 5.524 0.000 0.724
Ca 5.498 0.000 5.470
Pd 0.512 1.958 1.226
Pd 6.316 1.958 7.458
Au 0.875 1.958 5.546
Au 3.259 1.958 1.449
Au 3.414 1.958 4.342
Au 3.568 1.958 7.235
Au 5.953 1.958 3.138
```

Energy of formation: -0.71 eV/atom
Calculated volume: 22.75 Å³/atom

***

No. 4
The following is a DFT calculation (GGA-PBE) of a relaxed Pr6Te3As2P crystal.

```
12
Lattice="9.702 -2.176 0.000 9.702 2.176 0.000 -2.380 0.000 8.599" Properties=species:S:1:pos:R:3 pbc="T T T"
Pr -0.440 0.000 1.947
Pr 5.326 0.000 3.719
Pr 4.519 0.000 7.782
Pr 12.506 0.000 0.817
Pr 11.699 0.000 4.880
Pr 17.465 0.000 6.653
Te 1.279 0.000 7.173
Te 8.512 0.000 4.300
Te 15.746 0.000 1.427
As 2.438 0.000 2.863
As 14.587 0.000 5.736
P 9.702 0.000 0.000
```

Uncorrected formation energy: -1.552 eV per atom
Calculated volume: 30.26 Å³/atom

***

No. 5
The following is a DFT calculation (GGA-PBE) of a relaxed NaTbCoCl6 crystal.

```
18
Lattice="6.593 0.000 0.000 -3.297 5.710 0.000 0.000 0.000 12.540" Properties=species:S:1:pos:R:3 pbc="T T T"
Na 0.000 0.000 0.000
Na 0.000 0.000 6.270
Tb 0.000 3.807 3.135
Tb 3.297 1.903 9.405
Co 0.000 3.807 9.405
Co 3.297 1.903 3.135
Cl -1.058 2.097 7.974
Cl -2.009 3.746 10.835
Cl 1.058 2.097 10.835
Cl -0.952 5.578 7.974
Cl 2.345 0.133 1.704
Cl 1.287 1.965 4.566
Cl 2.009 3.746 7.974
Cl 0.952 5.578 10.835
Cl 4.248 0.133 4.566
Cl 2.239 3.613 1.704
Cl 5.306 1.965 1.704
Cl 4.354 3.613 4.566
```

Uncorrected formation energy: -1.579 eV per atom
Calculated volume: 26.23 Å³/atom

***

No. 6
The following is a DFT calculation (GGA-PBE) of a relaxed FeTeOs2 crystal.

```
4
Lattice="-1.538 2.242 4.504 1.538 -2.242 4.504 1.538 2.242 -4.504" Properties=species:S:1:pos:R:3 pbc="T T T"
Fe 0.000 0.000 0.000
Te 0.000 2.242 2.380
Os 1.538 0.000 2.275
Os 0.000 0.000 4.715
```

Uncorrected formation energy: 0.808 eV per atom
Calculated volume: 15.53 Å³/atom

***

No. 7
The following is a DFT calculation (GGA-PBE) of a relaxed AcZnRh2 crystal.

```
16
Lattice="6.045 0.000 0.000 0.000 7.477 0.000 0.000 0.000 8.382" Properties=species:S:1:pos:R:3 pbc="T T T"
Ac 1.511 0.000 1.569
Ac 1.511 3.738 2.405
Ac 4.534 0.000 6.812
Ac 4.534 3.738 5.976
Zn 1.511 0.000 6.292
Zn 1.511 3.738 6.471
Zn 4.534 0.000 2.090
Zn 4.534 3.738 1.911
Rh 0.000 0.000 4.191
Rh 0.000 3.738 0.000
Rh 1.511 2.153 4.564
Rh 1.511 5.323 4.564
Rh 3.023 0.000 4.191
Rh 3.023 3.738 0.000
Rh 4.534 2.153 3.818
Rh 4.534 5.323 3.818
```

Energy of formation: -0.04 eV/atom
Calculated volume: 23.68 Å³/atom

***

No. 8
The following is a DFT calculation (GGA-PBE) of a relaxed KSb crystal.

```
2
Lattice="3.314 0.000 0.000 0.000 3.507 0.000 0.000 0.000 5.476" Properties=species:S:1:pos:R:3 pbc="T T T"
K 0.000 0.000 0.000
Sb 1.657 1.754 2.738
```

Uncorrected formation energy: -0.298 eV per atom
Calculated volume: 31.83 Å³/atom
Energy above the most stable polymorph in this dataset: 0.1417 eV per atom

***

No. 9
The following is a DFT calculation (GGA-PBE) of a relaxed Tb6Pr8Nd crystal.

```
15
Lattice="4.953 2.859 6.102 -4.953 2.859 6.102 0.000 -5.719 6.102" Properties=species:S:1:pos:R:3 pbc="T T T"
Tb -2.358 -2.524 8.955
Tb -3.365 0.780 9.350
Tb 1.007 -3.304 9.350
Tb -1.007 3.304 8.955
Tb 3.365 -0.780 8.955
Tb 2.358 2.524 9.350
Pr 0.000 0.000 1.549
Pr -0.658 -2.075 6.026
Pr -1.468 1.608 6.026
Pr -2.127 -0.468 12.278
Pr 2.127 0.468 6.026
Pr 1.468 -1.608 12.278
Pr 0.658 2.075 12.278
Pr 0.000 0.000 16.755
Nd 0.000 0.000 9.152
```

Energy of formation: 0.16 eV/atom
Calculated volume: 34.56 Å³/atom
Energy above the most stable polymorph in this dataset: 0.0371 eV per atom

***

No. 10
The following is a DFT calculation (GGA-PBE) of a relaxed SbIr4 crystal.

```
5
Lattice="-3.113 3.113 2.028 3.113 -3.113 2.028 3.113 3.113 -2.028" Properties=species:S:1:pos:R:3 pbc="T T T"
Sb 0.000 0.000 0.000
Ir 2.460 1.172 0.000
Ir 1.942 -0.653 2.028
Ir 1.172 3.767 0.000
Ir 0.653 1.942 2.028
```

Uncorrected formation energy: 0.190 eV per atom
Calculated volume: 15.73 Å³/atom
Energy above the most stable polymorph in this dataset: 0.0000 eV per atom

***

No. 11
The following is a DFT calculation (GGA-PBE) of a relaxed GaTePtCl2 crystal.

```
5
Lattice="4.797 0.000 0.000 0.000 4.797 0.000 0.000 0.000 5.327" Properties=species:S:1:pos:R:3 pbc="T T T"
Ga 0.000 0.000 0.000
Te 2.399 2.399 0.000
Pt 0.000 0.000 2.663
Cl 0.000 2.399 2.663
Cl 2.399 0.000 2.663
```

Uncorrected formation energy: 0.056 eV per atom
Calculated volume: 24.51 Å³/atom

***

No. 12
The following is a DFT calculation (GGA-PBE) of a relaxed Pa2Al8Pd crystal.

```
11
Lattice="4.320 0.000 0.000 0.000 4.320 0.000 0.000 0.000 11.318" Properties=species:S:1:pos:R:3 pbc="T T T"
Pa 0.000 0.000 2.131
Pa 0.000 0.000 9.187
Al 0.000 2.160 0.000
Al 0.000 2.160 4.249
Al 0.000 2.160 7.069
Al 2.160 0.000 0.000
Al 2.160 0.000 4.249
Al 2.160 0.000 7.069
Al 2.160 2.160 2.187
Al 2.160 2.160 9.131
Pd 0.000 0.000 5.659
```

Energy of formation: -0.38 eV/atom
Calculated volume: 19.20 Å³/atom

***

No. 13
The following is a DFT calculation (GGA-PBE) of a relaxed LaAg2Pt crystal.

```
4
Lattice="4.115 0.000 0.000 0.000 1.984 5.573 0.000 -1.984 5.573" Properties=species:S:1:pos:R:3 pbc="T T T"
La 0.000 0.000 0.000
Ag 0.000 0.000 8.155
Ag 2.057 0.000 3.284
Pt 2.057 0.000 6.257
```

Energy of formation: -0.46 eV/atom
Calculated volume: 22.75 Å³/atom
Energy above the most stable polymorph in this dataset: 0.0626 eV per atom

***

No. 14
The following is a DFT calculation (GGA-PBE) of a relaxed PmTi2Mn crystal.

```
4
Lattice="3.087 0.000 0.000 0.000 3.087 0.000 0.000 0.000 7.836" Properties=species:S:1:pos:R:3 pbc="T T T"
Pm 0.000 0.000 0.000
Ti 1.543 1.543 2.545
Ti 1.543 1.543 5.291
Mn 0.000 0.000 3.918
```

Energy of formation: 0.04 eV/atom
Calculated volume: 18.66 Å³/atom

***

No. 15
The following is a DFT calculation (GGA-PBE) of a relaxed CaCS3 crystal.

```
5
Lattice="5.316 0.000 0.000 0.000 5.316 0.000 0.000 0.000 5.316" Properties=species:S:1:pos:R:3 pbc="T T T"
Ca 0.000 0.000 0.000
C 2.658 2.658 2.658
S 0.000 0.000 2.658
S 0.000 2.658 0.000
S 2.658 0.000 0.000
```

Uncorrected formation energy: 1.734 eV per atom
Calculated volume: 30.04 Å³/atom
Energy above the most stable polymorph in this dataset: 1.4686 eV per atom

***

No. 16
The following is a DFT calculation (GGA-PBE) of a relaxed BaCoOs2 crystal.

```
4
Lattice="2.929 0.000 0.000 0.000 4.036 0.000 -1.454 0.000 6.891" Properties=species:S:1:pos:R:3 pbc="T T T"
Ba 0.000 0.000 0.000
Co 1.467 2.018 2.167
Os 0.004 2.018 4.302
Os 1.467 0.000 3.470
```

Energy of formation: 0.75 eV/atom
Calculated volume: 20.37 Å³/atom
Energy above the most stable polymorph in this dataset: 0.4378 eV per atom

***

No. 17
The following is a DFT calculation (GGA-PBE) of a relaxed Nd8Co3 crystal.

```
11
Lattice="4.773 2.756 4.013 -4.773 2.756 4.013 0.000 -5.512 4.013" Properties=species:S:1:pos:R:3 pbc="T T T"
Nd 0.000 0.000 1.874
Nd -2.348 0.443 4.643
Nd 0.791 -2.254 4.643
Nd -1.557 -1.812 7.396
Nd 1.557 1.812 4.643
Nd -0.791 2.254 7.396
Nd 2.348 -0.443 7.396
Nd 0.000 0.000 10.165
Co -4.773 0.000 6.019
Co -2.387 1.378 2.006
Co 2.387 1.378 2.006
```

Energy of formation: 0.00 eV/atom
Calculated volume: 28.79 Å³/atom

***

No. 18
The following is a DFT calculation (GGA-PBE) of a relaxed PmSm4Dy2Mg crystal.

```
8
Lattice="5.034 0.000 0.000 0.000 5.034 0.000 0.000 0.000 10.079" Properties=species:S:1:pos:R:3 pbc="T T T"
Pm 0.000 0.000 0.000
Sm 0.000 2.517 2.573
Sm 0.000 2.517 7.506
Sm 2.517 0.000 2.573
Sm 2.517 0.000 7.506
Dy 0.000 0.000 5.039
Dy 2.517 2.517 0.000
Mg 2.517 2.517 5.039
```

Energy of formation: 0.01 eV/atom
Calculated volume: 31.93 Å³/atom

***

No. 19
The following is a DFT calculation (GGA-PBE) of a relaxed NiOs2 crystal.

```
12
Lattice="5.715 0.000 0.000 0.000 5.715 0.000 0.000 0.000 5.715" Properties=species:S:1:pos:R:3 pbc="T T T"
Ni 0.000 0.000 0.000
Ni 0.000 2.858 2.858
Ni 2.858 0.000 2.858
Ni 2.858 2.858 0.000
Os 0.665 3.523 5.050
Os 0.665 5.050 2.192
Os 2.192 0.665 5.050
Os 2.192 2.192 2.192
Os 3.523 3.523 3.523
Os 3.523 5.050 0.665
Os 5.050 0.665 3.523
Os 5.050 2.192 0.665
```

Energy of formation: 1.22 eV/atom
Calculated volume: 15.56 Å³/atom
Energy above the most stable polymorph in this dataset: 1.1784 eV per atom

***

No. 20
The following is a DFT calculation (GGA-PBE) of a relaxed SiPAu crystal.

```
3
Lattice="0.000 3.048 3.048 3.048 0.000 3.048 3.048 3.048 0.000" Properties=species:S:1:pos:R:3 pbc="T T T"
Si 0.000 0.000 0.000
P 3.048 3.048 3.048
Au 4.572 4.572 4.572
```

Uncorrected formation energy: 0.357 eV per atom
Calculated volume: 18.88 Å³/atom
Energy above the most stable polymorph in this dataset: 0.5558 eV per atom

***

No. 21
The following is a DFT calculation (GGA-PBE) of a relaxed NaYTlIn crystal.

```
4
Lattice="0.000 3.763 3.763 3.763 0.000 3.763 3.763 3.763 0.000" Properties=species:S:1:pos:R:3 pbc="T T T"
Na 0.000 0.000 0.000
Y 3.763 3.763 3.763
Tl 1.881 1.881 1.881
In 5.644 5.644 5.644
```

Energy of formation: -0.26 eV/atom
Calculated volume: 26.64 Å³/atom
Energy above the most stable polymorph in this dataset: 0.0367 eV per atom

***

No. 22
The following is a DFT calculation (GGA-PBE) of a relaxed CaCuCl2 crystal.

```
4
Lattice="1.927 1.113 11.142 -1.927 1.113 11.142 0.000 -2.225 11.142" Properties=species:S:1:pos:R:3 pbc="T T T"
Ca 0.000 0.000 0.000
Cu 0.000 0.000 16.713
Cl 0.000 0.000 9.601
Cl 0.000 0.000 23.824
```

Uncorrected formation energy: -1.082 eV per atom
Calculated volume: 35.83 Å³/atom
Energy above the most stable polymorph in this dataset: 0.0000 eV per atom

***

No. 23
The following is a DFT calculation (GGA-PBE) of a relaxed SrBeZnAg2 crystal.

```
5
Lattice="4.764 0.000 0.000 0.000 4.764 0.000 0.000 0.000 4.533" Properties=species:S:1:pos:R:3 pbc="T T T"
Sr 0.000 0.000 0.000
Be 2.382 2.382 2.266
Zn 2.382 2.382 0.000
Ag 0.000 2.382 2.266
Ag 2.382 0.000 2.266
```

Energy of formation: -0.04 eV/atom
Calculated volume: 20.58 Å³/atom

***

No. 24
The following is a DFT calculation (GGA-PBE) of a relaxed Pm3Si2SnPt9 crystal.

```
15
Lattice="6.403 0.000 0.000 -3.201 5.545 0.000 0.000 0.000 9.334" Properties=species:S:1:pos:R:3 pbc="T T T"
Pm 0.000 0.000 0.000
Pm 0.000 3.696 6.810
Pm 3.201 1.848 2.524
Si 0.000 3.696 1.631
Si 3.201 1.848 7.703
Sn 0.000 0.000 4.667
Pt -1.601 2.772 0.000
Pt 0.000 1.603 2.518
Pt -1.813 4.743 2.518
Pt 1.388 0.801 6.815
Pt 3.201 0.000 0.000
Pt 1.601 2.772 0.000
Pt 1.813 4.743 2.518
Pt 5.015 0.801 6.815
Pt 3.201 3.942 6.815
```

Uncorrected formation energy: -0.729 eV per atom
Calculated volume: 22.09 Å³/atom

***

Number 1: uncorrected energy -6.799 eV per atom. Number 2: uncorrected energy -3.033 eV per atom. Number 3: uncorrected energy -3.872 eV per atom. Number 4: uncorrected energy -5.953 eV per atom. Number 5: uncorrected energy -4.261 eV per atom. Number 6: uncorrected energy -7.708 eV per atom. Number 7: uncorrected energy -5.064 eV per atom. Number 8: uncorrected energy -2.908 eV per atom. Number 9: uncorrected energy -4.560 eV per atom. Number 10: uncorrected energy -7.724 eV per atom. Number 11: uncorrected energy -3.124 eV per atom. Number 12: uncorrected energy -5.298 eV per atom. Number 13: uncorrected energy -4.628 eV per atom. Number 14: uncorrected energy -7.386 eV per atom. Number 15: uncorrected energy -2.987 eV per atom. Number 16: uncorrected energy -7.123 eV per atom. Number 17: uncorrected energy -5.408 eV per atom. Number 18: uncorrected energy -4.292 eV per atom. Number 19: uncorrected energy -8.196 eV per atom. Number 20: uncorrected energy -4.346 eV per atom. Number 21: uncorrected energy -3.478 eV per atom. Number 22: uncorrected energy -3.530 eV per atom. Number 23: uncorrected energy -2.515 eV per atom. Number 24: uncorrected energy -6.293 eV per atom.